A geometry-optimized Rb3Bi2Br9 structure, computed with GGA-PBE.

Computed properties:
E above lowest polymorph ... 0.37 eV/f.u.
Energy relative to the elements, uncorrected ... -1191.5 meV per atom
Symmetry ... R-3c, No. 167

a = 10.424 Å, b = 10.424 Å, c = 10.424 Å
α = 82.69°, β = 82.69°, γ = 82.69°
Fractional coordinates of all 28 atoms:
Rb (0.076, 0.750, 0.424)
Rb (0.250, 0.576, 0.924)
Rb (0.424, 0.076, 0.750)
Rb (0.576, 0.924, 0.250)
Rb (0.750, 0.424, 0.076)
Rb (0.924, 0.250, 0.576)
Bi (0.152, 0.152, 0.152)
Bi (0.348, 0.348, 0.348)
Bi (0.652, 0.652, 0.652)
Bi (0.848, 0.848, 0.848)
Br (0.081, 0.266, 0.912)
Br (0.083, 0.417, 0.250)
Br (0.088, 0.919, 0.734)
Br (0.234, 0.419, 0.588)
Br (0.250, 0.083, 0.417)
Br (0.266, 0.912, 0.081)
Br (0.412, 0.766, 0.581)
Br (0.417, 0.250, 0.083)
Br (0.419, 0.588, 0.234)
Br (0.581, 0.412, 0.766)
Br (0.583, 0.750, 0.917)
Br (0.588, 0.234, 0.419)
Br (0.734, 0.088, 0.919)
Br (0.750, 0.917, 0.583)
Br (0.766, 0.581, 0.412)
Br (0.912, 0.081, 0.266)
Br (0.917, 0.583, 0.750)
Br (0.919, 0.734, 0.088)


A geometry-optimized Rb2BiBr7 structure, computed with GGA-PBE.

Computed properties:
Energy relative to the elements, uncorrected ... -901.9 meV per atom
Symmetry ... I4/mmm, No. 139

a = 8.559 Å, b = 8.559 Å, c = 8.559 Å
α = 123.77°, β = 123.77°, γ = 83.58°
Fractional coordinates of all 10 atoms:
Rb (0.250, 0.750, 0.500)
Rb (0.750, 0.250, 0.500)
Bi (0.000, 0.000, 0.000)
Br (0.223, 0.223, 0.000)
Br (0.246, 0.246, 0.492)
Br (0.246, 0.754, 0.000)
Br (0.500, 0.500, 0.000)
Br (0.754, 0.246, 0.000)
Br (0.754, 0.754, 0.508)
Br (0.777, 0.777, 0.000)


A geometry-optimized Rb8Bi2Br structure, computed with GGA-PBE.

Computed properties:
Energy relative to the elements, uncorrected ... -508.7 meV per atom
Symmetry ... C2/m, No. 12

a = 12.773 Å, b = 12.773 Å, c = 8.660 Å
α = 109.40°, β = 109.40°, γ = 27.68°
Fractional coordinates of all 11 atoms:
Rb (0.038, 0.038, 0.298)
Rb (0.225, 0.225, 0.826)
Rb (0.321, 0.321, 0.541)
Rb (0.404, 0.404, 0.071)
Rb (0.596, 0.596, 0.929)
Rb (0.679, 0.679, 0.459)
Rb (0.775, 0.775, 0.174)
Rb (0.962, 0.962, 0.702)
Bi (0.171, 0.171, 0.183)
Bi (0.829, 0.829, 0.817)
Br (0.500, 0.500, 0.500)


A geometry-optimized Rb2Bi2Br7 structure, computed with GGA-PBE.

Computed properties:
E above lowest polymorph ... 0.00 eV/f.u.
Energy relative to the elements, uncorrected ... -988.7 meV per atom
Symmetry ... C2/m, No. 12

a = 7.936 Å, b = 7.936 Å, c = 7.458 Å
α = 95.70°, β = 95.70°, γ = 73.32°
Fractional coordinates of all 11 atoms:
Rb (0.231, 0.769, 0.000)
Rb (0.769, 0.231, 0.000)
Bi (0.241, 0.241, 0.570)
Bi (0.759, 0.759, 0.430)
Br (0.000, 0.000, 0.500)
Br (0.051, 0.495, 0.264)
Br (0.450, 0.450, 0.715)
Br (0.495, 0.051, 0.264)
Br (0.505, 0.949, 0.736)
Br (0.550, 0.550, 0.285)
Br (0.949, 0.505, 0.736)


A geometry-optimized Rb6Bi3Br14 structure, computed with GGA-PBE.

Computed properties:
Energy relative to the elements, uncorrected ... -1219.3 meV per atom
Symmetry ... P3, No. 143

a = 13.056 Å, b = 13.056 Å, c = 6.463 Å
α = 90.00°, β = 90.00°, γ = 120.00°
Fractional coordinates of all 23 atoms:
Rb (0.028, 0.560, 0.000)
Rb (0.305, 0.104, 0.514)
Rb (0.440, 0.468, 0.000)
Rb (0.532, 0.972, 0.000)
Rb (0.799, 0.695, 0.514)
Rb (0.896, 0.201, 0.514)
Bi (0.000, 0.000, 0.890)
Bi (0.333, 0.667, 0.384)
Bi (0.667, 0.333, 0.261)
Br (0.000, 0.000, 0.369)
Br (0.080, 0.841, 0.827)
Br (0.159, 0.239, 0.827)
Br (0.176, 0.426, 0.326)
Br (0.250, 0.824, 0.326)
Br (0.333, 0.667, 0.865)
Br (0.451, 0.195, 0.025)
Br (0.527, 0.410, 0.496)
Br (0.574, 0.750, 0.326)
Br (0.590, 0.117, 0.496)
Br (0.744, 0.549, 0.025)
Br (0.761, 0.920, 0.827)
Br (0.805, 0.256, 0.025)
Br (0.883, 0.473, 0.496)


A geometry-optimized RbBiBr6 structure, computed with GGA-PBE.

Computed properties:
Energy relative to the elements, uncorrected ... -558.2 meV per atom
Symmetry ... Fm-3m, No. 225

a = 8.773 Å, b = 8.773 Å, c = 8.773 Å
α = 60.00°, β = 60.00°, γ = 60.00°
Fractional coordinates of all 8 atoms:
Rb (0.000, 0.000, 0.000)
Bi (0.500, 0.500, 0.500)
Br (0.281, 0.281, 0.719)
Br (0.281, 0.719, 0.281)
Br (0.281, 0.719, 0.719)
Br (0.719, 0.281, 0.281)
Br (0.719, 0.281, 0.719)
Br (0.719, 0.719, 0.281)


A geometry-optimized RbBiBr4 structure, computed with GGA-PBE.

Computed properties:
E above lowest polymorph ... 0.10 eV/f.u.
Energy relative to the elements, uncorrected ... -1087.8 meV per atom
Symmetry ... P2_1/c, No. 14

a = 11.035 Å, b = 8.172 Å, c = 11.200 Å
α = 90.00°, β = 100.78°, γ = 90.00°
Fractional coordinates of all 24 atoms:
Rb (0.177, 0.229, 0.402)
Rb (0.177, 0.271, 0.902)
Rb (0.823, 0.729, 0.098)
Rb (0.823, 0.771, 0.598)
Bi (0.322, 0.724, 0.193)
Bi (0.322, 0.776, 0.693)
Bi (0.678, 0.224, 0.307)
Bi (0.678, 0.276, 0.807)
Br (0.113, 0.525, 0.172)
Br (0.113, 0.975, 0.672)
Br (0.168, 0.512, 0.629)
Br (0.168, 0.988, 0.129)
Br (0.342, 0.643, 0.953)
Br (0.342, 0.857, 0.453)
Br (0.448, 0.085, 0.800)
Br (0.448, 0.415, 0.300)
Br (0.552, 0.585, 0.700)
Br (0.552, 0.915, 0.200)
Br (0.658, 0.143, 0.547)
Br (0.658, 0.357, 0.047)
Br (0.832, 0.012, 0.871)
Br (0.832, 0.488, 0.371)
Br (0.887, 0.025, 0.328)
Br (0.887, 0.475, 0.828)


A geometry-optimized Rb2BiBr structure, computed with GGA-PBE.

Computed properties:
E above lowest polymorph ... 0.00 eV/f.u.
Energy relative to the elements, uncorrected ... -902.3 meV per atom
Symmetry ... P4/mmm, No. 123

a = 3.902 Å, b = 3.902 Å, c = 10.055 Å
α = 90.00°, β = 90.00°, γ = 90.00°
Fractional coordinates of all 4 atoms:
Rb (0.000, 0.000, 0.213)
Rb (0.000, 0.000, 0.787)
Bi (0.500, 0.500, 0.500)
Br (0.500, 0.500, 0.000)


| no. | DFT total energy (eV per atom) |
| --- | --- |
| 1 | -3.029 |
| 2 | -2.655 |
| 3 | -2.070 |
| 4 | -2.935 |
| 5 | -2.996 |
| 6 | -2.419 |
| 7 | -3.011 |
| 8 | -2.775 |